Record 1
Here is a relaxed KScZn2F8 crystal from the Alexandria database. Energies are from PBE.

Cell: 5.3065 5.3065 23.7962 Å, 90.00 90.00 120.00°
Space group R-3 (No. 148, hexagonal axes)
One atom of each set of equivalent atoms:
K (0.0000, 0.0000, 0.0000) [3 per cell]
Sc (0.0000, 0.0000, 0.5000) [3 per cell]
Zn (0.0000, 0.0000, 0.2487) [6 per cell]
F (0.0000, 0.0000, 0.3268) [6 per cell]
F (0.0067, 0.6918, 0.4498) [18 per cell]

***

Record 2
Here is a relaxed K2ScZnF6 crystal from the Alexandria database. Energies are from PBE.

Cell: 6.1984 8.7647 6.2048 Å, 90.00 90.00 90.00°
Space group Pmmn (No. 59, origin choice 2)
One atom of each set of equivalent atoms:
K (0.2500, 0.9997, 0.2495) [4 per cell]
Sc (0.2500, 0.2500, 0.7556) [2 per cell]
Zn (0.2500, 0.7500, 0.7496) [2 per cell]
F (0.0173, 0.2500, 0.9884) [4 per cell]
F (0.0182, 0.2500, 0.5246) [4 per cell]
F (0.2500, 0.0178, 0.7597) [4 per cell]

***

Number 1: total energy -4.9554 eV/atom, raw formation energy -2.88 eV/atom. Number 2: total energy -5.0133 eV/atom, raw formation energy -2.91 eV/atom.